(1)
Here is a geometry-optimized LiTa2Tl structure from Alexandria. Energies are from GGA-PBE.

Cell lengths 2.9308, 2.9308, 8.4388 Å; angles 90.00, 90.00, 90.00 degrees
Sites, in units of the cell vectors:
Li 0.0000 0.0000 0.0000
Ta 0.5000 0.5000 0.2209
Ta 0.5000 0.5000 0.7791
Tl 0.0000 0.0000 0.5000

Output
ΔE_f ... 0.654 eV/atom
Total energy ... -6.342 eV/atom
SG ... P4/mmm
Density ... 13.1 g cm⁻³

***

(2)
Here is a geometry-optimized MgTl2Hg structure from Alexandria. Energies are from GGA-PBE.

Cell lengths 3.4241, 3.4241, 9.1010 Å; angles 90.00, 90.00, 90.00 degrees
Sites, in units of the cell vectors:
Mg 0.0000 0.0000 0.0000
Tl 0.0000 0.0000 0.5394
Tl 0.5000 0.5000 0.2415
Hg 0.5000 0.5000 0.8032

Output
ΔE_f ... -0.048 eV/atom
Total energy ... -1.705 eV/atom
SG ... P4mm
Density ... 9.9 g cm⁻³

***

(3)
Here is a geometry-optimized Sm5Al structure from Alexandria. Energies are from GGA-PBE.

Cell lengths 4.8760, 15.2417, 4.8881 Å; angles 90.00, 90.00, 90.00 degrees
Sites, in units of the cell vectors:
Sm 0.0000 0.0000 0.0000
Sm 0.0000 0.1595 0.5000
Sm 0.0000 0.3386 0.0000
Sm 0.0000 0.6614 0.0000
Sm 0.0000 0.8405 0.5000
Sm 0.5000 0.1614 0.0000
Sm 0.5000 0.3405 0.5000
Sm 0.5000 0.5000 0.0000
Sm 0.5000 0.6595 0.5000
Sm 0.5000 0.8386 0.0000
Al 0.0000 0.5000 0.5000
Al 0.5000 0.0000 0.5000

Output
ΔE_f ... -0.079 eV/atom
Total energy ... -4.635 eV/atom
SG ... Cmmm
Density ... 7.1 g cm⁻³
E above lowest polymorph ... 10 meV/atom

***

(4)
Here is a geometry-optimized Nb5MoOs structure from Alexandria. Energies are from GGA-PBE.

Cell lengths 5.4414, 5.4414, 9.1645 Å; angles 97.77, 97.77, 106.68 degrees
Sites, in units of the cell vectors:
Nb 0.0178 0.3824 0.8238
Nb 0.1303 0.8697 0.7500
Nb 0.2506 0.5406 0.4932
Nb 0.3824 0.0178 0.3238
Nb 0.4594 0.7494 0.0068
Nb 0.5406 0.2506 0.9932
Nb 0.6176 0.9822 0.6762
Nb 0.7494 0.4594 0.5068
Nb 0.8697 0.1303 0.2500
Nb 0.9822 0.6176 0.1762
Mo 0.0000 0.0000 0.0000
Mo 0.0000 0.0000 0.5000
Os 0.4881 0.5119 0.2500
Os 0.5119 0.4881 0.7500

Output
ΔE_f ... 0.260 eV/atom
Total energy ... -10.084 eV/atom
SG ... C2/c
Density ... 9.8 g cm⁻³

***

(5)
Here is a geometry-optimized LaZn2Co structure from Alexandria. Energies are from GGA-PBE.

Cell lengths 4.7510, 4.7510, 6.6952 Å; angles 90.00, 90.00, 90.00 degrees
Sites, in units of the cell vectors:
La 0.0000 0.0000 0.0000
La 0.5000 0.5000 0.5000
Zn 0.0000 0.0000 0.5000
Zn 0.0000 0.5000 0.2500
Zn 0.5000 0.0000 0.7500
Zn 0.5000 0.5000 0.0000
Co 0.0000 0.5000 0.7500
Co 0.5000 0.0000 0.2500

Output
ΔE_f ... 0.035 eV/atom
Total energy ... -3.610 eV/atom
SG ... I-4m2
Density ... 7.2 g cm⁻³

***

(6)
Here is a geometry-optimized Ac2Ga2Ge3 structure from Alexandria. Energies are from GGA-PBE.

Cell lengths 10.6544, 10.6544, 7.3949 Å; angles 90.00, 90.00, 155.17 degrees
Sites, in units of the cell vectors:
Ac 0.0451 0.9549 0.7500
Ac 0.1732 0.8268 0.2500
Ac 0.8268 0.1732 0.7500
Ac 0.9549 0.0451 0.2500
Ga 0.3294 0.6706 0.0716
Ga 0.3294 0.6706 0.4284
Ga 0.6706 0.3294 0.5716
Ga 0.6706 0.3294 0.9284
Ge 0.2044 0.7956 0.7500
Ge 0.4400 0.5600 0.5760
Ge 0.4400 0.5600 0.9240
Ge 0.5600 0.4400 0.0760
Ge 0.5600 0.4400 0.4240
Ge 0.7956 0.2044 0.2500

Output
ΔE_f ... -0.522 eV/atom
Total energy ... -4.540 eV/atom
SG ... Cmcm
Density ... 7.6 g cm⁻³
E above lowest polymorph ... 0 meV/atom

***

(7)
Here is a geometry-optimized Y2PtW2 structure from Alexandria. Energies are from GGA-PBE.

Cell lengths 4.0009, 4.0009, 13.8758 Å; angles 90.00, 90.00, 90.00 degrees
Sites, in units of the cell vectors:
Y 0.0000 0.5000 0.2500
Y 0.0000 0.5000 0.7500
Y 0.5000 0.0000 0.2500
Y 0.5000 0.0000 0.7500
Pt 0.0000 0.0000 0.0000
Pt 0.5000 0.5000 0.5000
W 0.0000 0.0000 0.4195
W 0.0000 0.0000 0.5805
W 0.5000 0.5000 0.0805
W 0.5000 0.5000 0.9195

Output
ΔE_f ... 1.299 eV/atom
Total energy ... -7.676 eV/atom
SG ... I4/mmm
Density ... 11.1 g cm⁻³

***

(8)
Here is a geometry-optimized Cs3Tl8In structure from Alexandria. Energies are from GGA-PBE.

Cell lengths 11.7318, 11.7318, 11.7318 Å; angles 34.03, 34.03, 34.03 degrees
Sites, in units of the cell vectors:
Cs 0.0000 0.0000 0.0000
Cs 0.1259 0.1259 0.1259
Cs 0.6193 0.6193 0.6193
Tl 0.0585 0.0585 0.5596
Tl 0.0585 0.5596 0.0585
Tl 0.0680 0.5626 0.5626
Tl 0.3137 0.3137 0.3137
Tl 0.5596 0.0585 0.0585
Tl 0.5626 0.0680 0.5626
Tl 0.5626 0.5626 0.0680
Tl 0.8112 0.8112 0.8112
In 0.4920 0.4920 0.4920

Output
ΔE_f ... -0.015 eV/atom
Total energy ... -2.034 eV/atom
SG ... R3m
Density ... 7.9 g cm⁻³

***

(9)
Here is a geometry-optimized SmPaCuAu structure from Alexandria. Energies are from GGA-PBE.

Cell lengths 7.1568, 7.1568, 7.1568 Å; angles 90.00, 90.00, 90.00 degrees
Sites, in units of the cell vectors:
Sm 0.0000 0.0000 0.0000
Sm 0.0000 0.5000 0.5000
Sm 0.5000 0.0000 0.5000
Sm 0.5000 0.5000 0.0000
Pa 0.0000 0.0000 0.5000
Pa 0.0000 0.5000 0.0000
Pa 0.5000 0.0000 0.0000
Pa 0.5000 0.5000 0.5000
Cu 0.2500 0.2500 0.7500
Cu 0.2500 0.7500 0.2500
Cu 0.7500 0.2500 0.2500
Cu 0.7500 0.7500 0.7500
Au 0.2500 0.2500 0.2500
Au 0.2500 0.7500 0.7500
Au 0.7500 0.2500 0.7500
Au 0.7500 0.7500 0.2500

Output
ΔE_f ... -0.131 eV/atom
Total energy ... -5.528 eV/atom
SG ... F-43m
Density ... 11.6 g cm⁻³

***

(10)
Here is a geometry-optimized CdIn2Br4 structure from Alexandria. Energies are from GGA-PBE.

Cell lengths 8.9906, 12.6481, 4.2973 Å; angles 90.00, 90.00, 90.00 degrees
Sites, in units of the cell vectors:
Cd 0.0000 0.0000 0.0000
Cd 0.5000 0.5000 0.0000
In 0.0968 0.3121 0.5000
In 0.4032 0.8121 0.5000
In 0.5968 0.1879 0.5000
In 0.9032 0.6879 0.5000
Br 0.1307 0.8019 0.0000
Br 0.1904 0.0678 0.5000
Br 0.3096 0.5678 0.5000
Br 0.3693 0.3019 0.0000
Br 0.6307 0.6981 0.0000
Br 0.6904 0.4322 0.5000
Br 0.8096 0.9322 0.5000
Br 0.8693 0.1981 0.0000

Output
Total energy ... -2.607 eV/atom
SG ... Pbam
Density ... 4.5 g cm⁻³
Energy relative to the elements, uncorrected ... -738 meV per atom
E above lowest polymorph ... 0 meV/atom

***

(11)
Here is a geometry-optimized Ag2CF structure from Alexandria. Energies are from GGA-PBE.

Cell lengths 5.7415, 5.7415, 7.6736 Å; angles 90.00, 90.00, 90.00 degrees
Sites, in units of the cell vectors:
Ag 0.2058 0.2500 0.1250
Ag 0.2500 0.7058 0.3750
Ag 0.2500 0.7942 0.8750
Ag 0.2942 0.2500 0.6250
Ag 0.7058 0.7500 0.6250
Ag 0.7500 0.2058 0.8750
Ag 0.7500 0.2942 0.3750
Ag 0.7942 0.7500 0.1250
C 0.0000 0.0000 0.0000
C 0.0000 0.5000 0.2500
C 0.5000 0.0000 0.7500
C 0.5000 0.5000 0.5000
F 0.0000 0.0000 0.5000
F 0.0000 0.5000 0.7500
F 0.5000 0.0000 0.2500
F 0.5000 0.5000 0.0000

Output
Total energy ... -3.655 eV/atom
SG ... I-42d
Density ... 6.5 g cm⁻³
Energy relative to the elements, uncorrected ... 544 meV per atom
E above lowest polymorph ... 0 meV/atom

***

(12)
Here is a geometry-optimized Li2ZrPt2 structure from Alexandria. Energies are from GGA-PBE.

Cell lengths 8.2674, 4.0353, 5.9689 Å; angles 90.00, 126.28, 90.00 degrees
Sites, in units of the cell vectors:
Li 0.1881 0.0000 0.1034
Li 0.3119 0.5000 0.8966
Li 0.6881 0.5000 0.1034
Li 0.8119 0.0000 0.8966
Zr 0.0000 0.0000 0.5000
Zr 0.5000 0.5000 0.5000
Pt 0.0927 0.5000 0.2827
Pt 0.4073 0.0000 0.7173
Pt 0.5927 0.0000 0.2827
Pt 0.9073 0.5000 0.7173

Output
ΔE_f ... -0.674 eV/atom
Total energy ... -5.565 eV/atom
SG ... C2/m
Density ... 10.2 g cm⁻³
E above lowest polymorph ... 0 meV/atom